Version P
VASP calculation (PBE) on a geometry-optimized LaNd3Tc structure.

Cell: 5.561 5.561 5.561 Å, 90.00 90.00 90.00°
Each line ends with the local moment (μB).
Fractional coordinates of all 5 atoms:
Nd  0.000  0.000  0.500  0.05
Nd  0.500  0.000  0.000  0.05
Nd  0.000  0.500  0.000  0.05
La  0.500  0.500  0.500  0.15
Tc  0.000  0.000  0.000  -0.04

- V: 34.4 Å³/atom
- Crystal system: cubic
- SG: Pm-3m (221)
- D(E_F): 8.4 states/eV/cell

***

Version Q
VASP calculation (PBE) on a geometry-optimized LaNd3Tc structure.

Cell: 4.040 6.561 12.630 Å, 82.00 80.80 72.07°
Fractional coordinates of all 10 atoms:
Tc  0.783  0.292  0.142
Tc  0.425  0.391  0.759
Nd  0.445  0.961  0.148
Nd  0.762  0.717  0.760
Nd  0.983  0.136  0.898
Nd  0.430  0.616  0.524
Nd  0.790  0.032  0.387
Nd  0.099  0.179  0.624
La  0.120  0.473  0.288
La  0.224  0.541  0.010

- V: 31.3 Å³/atom
- Crystal system: monoclinic
- SG: Cm (8)
- D(E_F): 10.3 states/eV/cell

***

Short version: version Q is the most stable of them.

***

Version P
VASP calculation (PBE) on a geometry-optimized LaNdTe2 structure.

Cell: 4.553 4.553 7.831 Å, 89.92 106.94 120.07°
Fractional coordinates of all 4 atoms:
Te  0.503  0.252  0.755
Te  0.497  0.748  0.245
La  0.000  0.500  0.500
Nd  0.000  0.000  0.000

- V: 33.1 Å³/atom
- Crystal system: trigonal
- SG: R-3m (166)
- D(E_F): 2.5 states/eV/cell

***

Version Q
VASP calculation (PBE) on a geometry-optimized LaNdTe2 structure.

Cell: 5.525 5.525 5.525 Å, 60.00 60.00 60.00°
Each line ends with the local moment (μB).
Fractional coordinates of all 4 atoms:
Te  0.250  0.250  0.250  -0.01
Te  0.750  0.750  0.750  -0.01
Nd  0.000  0.000  0.000  0.09
La  0.500  0.500  0.500  0.07

- V: 29.8 Å³/atom
- Crystal system: cubic
- SG: Fm-3m (225)
- D(E_F): 3.6 states/eV/cell

***

Version R
VASP calculation (PBE) on a geometry-optimized LaNdTe2 structure.

Cell: 4.451 4.451 15.429 Å, 90.00 90.00 120.00°
Fractional coordinates of all 8 atoms:
Te  0.333  0.667  0.379
Te  0.333  0.667  0.121
Te  0.667  0.333  0.621
Te  0.667  0.333  0.879
Nd  0.000  0.000  0.000
Nd  0.000  0.000  0.500
La  0.333  0.667  0.750
La  0.667  0.333  0.250

- V: 33.1 Å³/atom
- Crystal system: hexagonal
- SG: P6_3/mmc (194)
- D(E_F): 4.7 states/eV/cell

***

Short version: version P is the most stable of them.

***

Version P
VASP calculation (PBE) on a geometry-optimized LaNdTe2 structure.

Cell: 3.911 5.527 5.527 Å, 90.00 90.00 90.00°
Each line ends with the local moment (μB).
Fractional coordinates of all 4 atoms:
Te  0.000  0.000  0.500  -0.01
Te  0.000  0.500  0.000  -0.01
Nd  0.500  0.000  0.000  0.19
La  0.500  0.500  0.500  0.16

- V: 29.9 Å³/atom
- Crystal system: tetragonal
- SG: P4/mmm (123)
- D(E_F): 3.6 states/eV/cell

***

Version Q
VASP calculation (PBE) on a geometry-optimized LaNdTe2 structure.

Cell: 4.412 4.412 8.312 Å, 74.61 74.61 60.00°
Fractional coordinates of all 4 atoms:
Te  0.249  0.249  0.253
Te  0.084  0.084  0.748
La  0.671  0.671  0.986
Nd  0.495  0.495  0.514

- V: 33.4 Å³/atom
- Crystal system: trigonal
- SG: R3m (160)
- D(E_F): 1.4 states/eV/cell

***

Short version: version Q is the most stable of them.